A plane-wave DFT calculation with PBE was carried out for a relaxed structure of TaNiAu2.

The value obtained for the final energy is -24.080 eV/f.u. For the size of the total moment, the calculation gives 0.00 μB/atom. The formation enthalpy at 0 K is 0.027 eV/atom.

CIF file:
```
data_TaNiAu2
_chemical_formula_sum 'Ta1 Ni1 Au2'
_space_group_name_H-M_alt 'P 1'
_space_group_IT_number 1
_space_group_name_Hall 'P 1'
_cell_length_a 2.8829
_cell_length_b 3.7810
_cell_length_c 5.9381
_cell_angle_alpha 90.00
_cell_angle_beta 90.08
_cell_angle_gamma 90.00
loop_
_atom_site_label
_atom_site_fract_x
_atom_site_fract_y
_atom_site_fract_z
Ta1 0.0000 0.0000 0.0000
Ni1 0.0000 0.0000 0.5000
Au1 0.4993 0.5000 0.7359
Au2 0.5007 0.5000 0.2641
```

A plane-wave DFT calculation with PBE was carried out for a relaxed structure of TaNiAu2.

The value obtained for the final energy is -24.198 eV/f.u. For the size of the total moment, the calculation gives 0.00 μB/atom. The formation enthalpy at 0 K is -0.002 eV/atom.

CIF file:
```
data_TaNiAu2
_chemical_formula_sum 'Ta1 Ni1 Au2'
_space_group_name_H-M_alt 'P 1'
_space_group_IT_number 1
_space_group_name_Hall 'P 1'
_cell_length_a 4.8015
_cell_length_b 4.8015
_cell_length_c 4.8015
_cell_angle_alpha 129.53
_cell_angle_beta 129.53
_cell_angle_gamma 74.15
loop_
_atom_site_label
_atom_site_fract_x
_atom_site_fract_y
_atom_site_fract_z
Ta1 0.0000 0.0000 0.0000
Ni1 0.7500 0.2500 0.5000
Au1 0.2500 0.7500 0.5000
Au2 0.5000 0.5000 0.0000
```

A plane-wave DFT calculation with PBE was carried out for a relaxed structure of TaNi2Au2.

The value obtained for the final energy is -29.722 eV/f.u. For the size of the total moment, the calculation gives 0.00 μB/atom. The formation enthalpy at 0 K is 0.050 eV/atom.

CIF file:
```
data_TaNi2Au2
_chemical_formula_sum 'Ta2 Ni4 Au4'
_space_group_name_H-M_alt 'P 1'
_space_group_IT_number 1
_space_group_name_Hall 'P 1'
_cell_length_a 6.4919
_cell_length_b 6.4919
_cell_length_c 3.6276
_cell_angle_alpha 90.00
_cell_angle_beta 90.00
_cell_angle_gamma 90.00
loop_
_atom_site_label
_atom_site_fract_x
_atom_site_fract_y
_atom_site_fract_z
Ta1 0.0000 0.0000 0.0000
Ta2 0.5000 0.5000 0.0000
Ni1 0.1294 0.3706 0.0000
Ni2 0.3706 0.8706 0.0000
Ni3 0.6294 0.1294 0.0000
Ni4 0.8706 0.6294 0.0000
Au1 0.1704 0.6704 0.5000
Au2 0.3296 0.1704 0.5000
Au3 0.6704 0.8296 0.5000
Au4 0.8296 0.3296 0.5000
```

A plane-wave DFT calculation with PBE was carried out for a relaxed structure of TaNiAu2.

The value obtained for the final energy is -23.659 eV/f.u. For the size of the total moment, the calculation gives 0.00 μB/atom. The formation enthalpy at 0 K is 0.132 eV/atom.

CIF file:
```
data_TaNiAu2
_chemical_formula_sum 'Ta1 Ni1 Au2'
_space_group_name_H-M_alt 'P 1'
_space_group_IT_number 1
_space_group_name_Hall 'P 1'
_cell_length_a 4.9459
_cell_length_b 4.9459
_cell_length_c 2.8479
_cell_angle_alpha 90.14
_cell_angle_beta 90.14
_cell_angle_gamma 109.88
loop_
_atom_site_label
_atom_site_fract_x
_atom_site_fract_y
_atom_site_fract_z
Ta1 0.0000 0.0000 0.0000
Ni1 0.5000 0.5000 0.0000
Au1 0.0000 0.5000 0.5000
Au2 0.5000 0.0000 0.5000
```

A plane-wave DFT calculation with PBE was carried out for a relaxed structure of TaNi2Au.

The value obtained for the final energy is -26.442 eV/f.u. For the size of the total moment, the calculation gives 0.00 μB/atom. The formation enthalpy at 0 K is 0.063 eV/atom.

CIF file:
```
data_TaNi2Au
_chemical_formula_sum 'Ta1 Ni2 Au1'
_space_group_name_H-M_alt 'P 1'
_space_group_IT_number 1
_space_group_name_Hall 'P 1'
_cell_length_a 8.7850
_cell_length_b 8.7850
_cell_length_c 8.7850
_cell_angle_alpha 18.49
_cell_angle_beta 18.49
_cell_angle_gamma 18.49
loop_
_atom_site_label
_atom_site_fract_x
_atom_site_fract_y
_atom_site_fract_z
Ta1 0.0000 0.0000 0.0000
Ni1 0.2529 0.2529 0.2529
Ni2 0.7471 0.7471 0.7471
Au1 0.5000 0.5000 0.5000
```

A plane-wave DFT calculation with PBE was carried out for a relaxed structure of TaNiAu2.

The value obtained for the final energy is -24.234 eV/f.u. For the size of the total moment, the calculation gives 0.00 μB/atom. The formation enthalpy at 0 K is -0.011 eV/atom.

CIF file:
```
data_TaNiAu2
_chemical_formula_sum 'Ta1 Ni1 Au2'
_space_group_name_H-M_alt 'P 1'
_space_group_IT_number 1
_space_group_name_Hall 'P 1'
_cell_length_a 4.8609
_cell_length_b 4.8609
_cell_length_c 4.9315
_cell_angle_alpha 100.57
_cell_angle_beta 100.57
_cell_angle_gamma 34.65
loop_
_atom_site_label
_atom_site_fract_x
_atom_site_fract_y
_atom_site_fract_z
Ta1 0.0000 0.0000 0.0000
Ni1 0.2650 0.2650 0.7798
Au1 0.5162 0.5162 0.5237
Au2 0.7550 0.7550 0.2500
```